(1)
! Rb2NpZn2Se4 PBE-GGA relaxed; values from VASP
! Total DFT energy (no corrections) = -4.378 eV/atom
! Space group = C2/m
&SYSTEM
  ibrav = 0, nat = 9, ntyp = 4
/
ATOMIC_SPECIES
Rb 85.47 Rb.upf
Np 237.00 Np.upf
Zn 65.41 Zn.upf
Se 78.96 Se.upf
ATOMIC_POSITIONS crystal
Rb 0.131 0.131 0.055
Rb 0.869 0.869 0.945
Np 0.000 0.000 0.500
Zn 0.330 0.330 0.513
Zn 0.670 0.670 0.487
Se 0.205 0.205 0.664
Se 0.481 0.481 0.736
Se 0.519 0.519 0.264
Se 0.795 0.795 0.336
CELL_PARAMETERS angstrom
7.835 -2.154 0.000
7.835 2.154 0.000
-2.560 0.000 7.791


(2)
! CrHg2Ru PBE-GGA relaxed; values from VASP
! Total DFT energy (no corrections) = -3.999 eV/atom
! Space group = I-42d
! Distance to the lowest polymorph of the same formula = 224 kJ/mol of formula units
&SYSTEM
  ibrav = 0, nat = 8, ntyp = 3
/
ATOMIC_SPECIES
Cr 52.00 Cr.upf
Hg 200.59 Hg.upf
Ru 101.07 Ru.upf
ATOMIC_POSITIONS crystal
Cr 0.000 0.000 0.000
Cr 0.750 0.250 0.500
Hg 0.131 0.625 0.006
Hg 0.375 0.381 0.506
Hg 0.619 0.125 0.994
Hg 0.875 0.869 0.494
Ru 0.250 0.750 0.500
Ru 0.500 0.500 0.000
CELL_PARAMETERS angstrom
-3.767 3.767 2.793
3.767 -3.767 2.793
3.767 3.767 -2.793


(3)
! PaBW PBE-GGA relaxed; values from VASP
! Total DFT energy (no corrections) = -9.674 eV/atom
! Space group = I4mm
! Distance to the lowest polymorph of the same formula = 0 kJ/mol of formula units
&SYSTEM
  ibrav = 0, nat = 3, ntyp = 3
/
ATOMIC_SPECIES
Pa 231.04 Pa.upf
B 10.81 B.upf
W 183.84 W.upf
ATOMIC_POSITIONS crystal
Pa 0.000 0.000 0.000
B 0.303 0.303 0.000
W 0.725 0.725 0.000
CELL_PARAMETERS angstrom
-1.531 1.531 5.007
1.531 -1.531 5.007
1.531 1.531 -5.007


(4)
! LiThU2N4 PBE-GGA relaxed; values from VASP
! Total DFT energy (no corrections) = -9.298 eV/atom
! Space group = I-4m2
&SYSTEM
  ibrav = 0, nat = 8, ntyp = 4
/
ATOMIC_SPECIES
Li 6.94 Li.upf
Th 232.04 Th.upf
U 238.03 U.upf
N 14.01 N.upf
ATOMIC_POSITIONS crystal
Li 0.000 0.000 0.000
Th 0.750 0.250 0.500
U 0.250 0.750 0.500
U 0.500 0.500 0.000
N 0.014 0.514 0.500
N 0.269 0.269 0.000
N 0.486 0.986 0.500
N 0.731 0.731 0.000
CELL_PARAMETERS angstrom
-2.450 2.450 4.922
2.450 -2.450 4.922
2.450 2.450 -4.922


(5)
! Cr2HgOs PBE-GGA relaxed; values from VASP
! Total DFT energy (no corrections) = -7.131 eV/atom
! Space group = Cmm2
&SYSTEM
  ibrav = 0, nat = 4, ntyp = 3
/
ATOMIC_SPECIES
Cr 52.00 Cr.upf
Hg 200.59 Hg.upf
Os 190.23 Os.upf
ATOMIC_POSITIONS crystal
Cr 0.000 0.000 0.000
Cr 0.500 0.500 0.195
Hg 0.500 0.500 0.722
Os 0.000 0.000 0.424
CELL_PARAMETERS angstrom
1.472 -2.279 0.000
1.472 2.279 0.000
0.000 0.000 8.923


(6)
! SmGdCdGe PBE-GGA relaxed; values from VASP
! Total DFT energy (no corrections) = -6.570 eV/atom
! Space group = F-43m
&SYSTEM
  ibrav = 0, nat = 4, ntyp = 4
/
ATOMIC_SPECIES
Sm 150.36 Sm.upf
Gd 157.25 Gd.upf
Cd 112.41 Cd.upf
Ge 72.64 Ge.upf
ATOMIC_POSITIONS crystal
Sm 0.000 0.000 0.000
Gd 0.500 0.500 0.500
Cd 0.750 0.750 0.750
Ge 0.250 0.250 0.250
CELL_PARAMETERS angstrom
0.000 3.694 3.694
3.694 0.000 3.694
3.694 3.694 0.000